1.
Computed, not measured: a crystal of TlMoAs relaxed with PBEsol at the SCAN level of DFT.

Calculated values
- theoretical density (g/cm³) = 10.33
- magnetization (μB/cell) = 0.00
- SG = Fmm2, No. 42

a b c (Å): 2.9891 2.9891 7.3336
angles (deg): 97.97 97.97 108.62
Fractional positions:
Tl (0.3207, 0.3207, 0.6414)
As (0.0282, 0.0282, 0.0564)
Mo (0.6511, 0.6511, 0.3022)

2.
Computed, not measured: a crystal of TlMoAs2 relaxed with PBEsol at the SCAN level of DFT.

Calculated values
- theoretical density (g/cm³) = 10.18
- magnetization (μB/cell) = 0.00
- polymorph energy (0 for the lowest one) (eV per atom) = 0.689
- SG = Cmmm, No. 65

a b c (Å): 3.3974 4.7327 4.7327
angles (deg): 105.26 90.00 90.00
Fractional positions:
As (0.0000, 0.0000, 0.5000)
As (0.0000, 0.5000, 0.0000)
Mo (0.5000, 0.0000, 0.0000)
Tl (0.5000, 0.5000, 0.5000)

3.
Computed, not measured: a crystal of TlMoAs2 relaxed with PBEsol at the SCAN level of DFT.

Calculated values
- theoretical density (g/cm³) = 9.71
- magnetization (μB/cell) = 2.74
- polymorph energy (0 for the lowest one) (eV per atom) = 0.735
- SG = P4/mmm, No. 123

a b c (Å): 4.0685 4.0685 4.6512
angles (deg): 90.00 90.00 90.00
Fractional positions:
As (0.0000, 0.5000, 0.0000)
As (0.5000, 0.0000, 0.0000)
Tl (0.0000, 0.0000, 0.5000)
Mo (0.5000, 0.5000, 0.5000)

4.
Computed, not measured: a crystal of TlMoAs2 relaxed with PBEsol at the SCAN level of DFT.

Calculated values
- theoretical density (g/cm³) = 9.63
- magnetization (μB/cell) = 0.00
- polymorph energy (0 for the lowest one) (eV per atom) = 0.000
- SG = P4/mmm, No. 123

a b c (Å): 3.1516 3.1516 7.8116
angles (deg): 90.00 90.00 90.00
Fractional positions:
As (0.0000, 0.0000, 0.3153)
As (0.0000, 0.0000, 0.6847)
Tl (0.5000, 0.5000, 0.0000)
Mo (0.5000, 0.5000, 0.5000)

| no. | DOS at the Fermi energy (states/eV/atom) | formation energy from the elements (eV/atom) |
| --- | --- | --- |
| 1 | 0.66 | 0.421 |
| 2 | 0.81 | 0.648 |
| 3 | 0.48 | 0.693 |
| 4 | 0.62 | -0.041 |